(1)
Compound: Mg6Pd12Pb
Source: Alexandria
Functional: PBE
Structure: relaxed

Lattice parameters (Å, degrees): 7.1429 7.1429 7.1429 103.24 103.24 103.24
Positions (direct):
Mg 0.8329 0.8332 0.5518
Mg 0.4482 0.1671 0.1668
Mg 0.1668 0.4482 0.1671
Mg 0.1671 0.1668 0.4482
Mg 0.5518 0.8329 0.8332
Mg 0.8332 0.5518 0.8329
Pd 0.8096 0.4195 0.4193
Pd 0.4193 0.8096 0.4195
Pd 0.4195 0.4193 0.8096
Pd 0.1904 0.5805 0.5807
Pd 0.5807 0.1904 0.5805
Pd 0.5805 0.5807 0.1904
Pd 0.9999 0.7364 0.2637
Pd 0.2636 0.7363 0.0001
Pd 0.7363 0.0001 0.2636
Pd 0.0001 0.2636 0.7363
Pd 0.7364 0.2637 0.9999
Pd 0.2637 0.9999 0.7364
Pb 0.0000 0.0000 0.0000

D(E_F): 0.6019 states/eV/atom
SG: No. 166
calculated total energy: -4.330 eV per atom
total moment: 0.000 μB per formula unit


(2)
Compound: LuSb2Pb
Source: Alexandria
Functional: PBE
Structure: relaxed

Lattice parameters (Å, degrees): 4.3687 4.3687 7.9638 74.08 74.08 60.00
Positions (direct):
Pb 0.5000 0.5000 0.5000
Sb 0.2575 0.2575 0.2275
Sb 0.7425 0.7425 0.7725
Lu 0.0000 0.0000 0.0000

D(E_F): 0.7252 states/eV/atom
SG: No. 166
distance to the lowest polymorph of the same formula: 0.00 eV/f.u.
raw formation energy: -0.384 eV/atom
total moment: 0.000 μB per formula unit


(3)
Compound: Cs3Tb2MnSe6
Source: Alexandria
Functional: PBE
Structure: relaxed

Lattice parameters (Å, degrees): 7.2065 7.2065 8.7201 98.87 98.87 118.04
Positions (direct):
Cs 0.1741 0.8259 0.5000
Cs 0.8259 0.1741 0.5000
Cs 0.5000 0.5000 0.5000
Tb 0.3375 0.6625 0.0000
Tb 0.6625 0.3375 0.0000
Mn 0.0000 0.0000 0.0000
Se 0.9432 0.6399 0.8290
Se 0.7302 0.7302 0.1979
Se 0.0568 0.3601 0.1710
Se 0.6399 0.9432 0.8290
Se 0.2698 0.2698 0.8021
Se 0.3601 0.0568 0.1710

D(E_F): 0.0210 states/eV/atom
SG: No. 12
raw formation energy: -1.338 eV/atom
total moment: 4.000 μB per formula unit


(4)
Compound: ErZn3Pd3
Source: Alexandria
Functional: PBE
Structure: relaxed

Lattice parameters (Å, degrees): 6.7034 6.7034 7.3519 62.88 62.88 60.00
Positions (direct):
Er 0.3399 0.3399 0.9802
Er 0.6601 0.6601 0.0198
Zn 0.5621 0.7384 0.6109
Zn 0.7384 0.0887 0.6109
Zn 0.0887 0.5621 0.6109
Zn 0.9113 0.4379 0.3891
Zn 0.2616 0.9113 0.3891
Zn 0.4379 0.2616 0.3891
Pd 0.1810 0.6957 0.1929
Pd 0.9304 0.1810 0.1929
Pd 0.6957 0.9304 0.1929
Pd 0.3043 0.0696 0.8071
Pd 0.0696 0.8190 0.8071
Pd 0.8190 0.3043 0.8071

D(E_F): 0.2963 states/eV/atom
SG: No. 148
distance to the lowest polymorph of the same formula: 0.00 eV/f.u.
total moment: 0.000 μB per formula unit